This record from OQMD via LeMat-Bulk describes LiLaHgTe3 after structural relaxation. The functional is PBE.

a b c (Å): 13.4291 4.5250 13.0151
angles (deg): 90.00 90.00 90.00
Fractional coordinates of all 24 atoms:
Li1 0.1130 0.2500 0.0022
Li2 0.3870 0.7500 0.5022
Li3 0.6130 0.2500 0.4978
Li4 0.8870 0.7500 0.9978
La1 0.0475 0.2500 0.6842
La2 0.4525 0.7500 0.1842
La3 0.5475 0.2500 0.8158
La4 0.9525 0.7500 0.3158
Hg1 0.2353 0.2500 0.2868
Hg2 0.2647 0.7500 0.7868
Hg3 0.7353 0.2500 0.2132
Hg4 0.7647 0.7500 0.7132
Te1 0.0630 0.7500 0.8664
Te2 0.0809 0.2500 0.4287
Te3 0.2150 0.7500 0.1483
Te4 0.2850 0.2500 0.6483
Te5 0.4191 0.7500 0.9287
Te6 0.4370 0.2500 0.3664
Te7 0.5630 0.7500 0.6336
Te8 0.5809 0.2500 0.0713
Te9 0.7150 0.7500 0.3517
Te10 0.7850 0.2500 0.8517
Te11 0.9191 0.7500 0.5713
Te12 0.9370 0.2500 0.1336

Summary:
M_tot = 0.000 μB per atom
symmetry = Pnma
final energy = -3.651 eV/atom